Record 1
Entry from Alexandria via LeMat-Bulk: a relaxed PuV2C crystal (PBE).

Output
As for the total moment: 5.371 μB per cell. For the final energy, the calculation gives -10.43 eV/atom. The formation energy from the elements comes out at 1.9 kJ/mol of atoms. The density of states at the Fermi level comes out at 6.76 states/eV per cell.

abc: 7.853 7.853 7.853
angles: 21.60 21.60 21.60
Sites, in units of the cell vectors:
Pu: 0.000 0.000 0.000
V: 0.119 0.119 0.119
V: 0.881 0.881 0.881
C: 0.500 0.500 0.500

***

Record 2
Entry from Alexandria via LeMat-Bulk: a relaxed InHS2Cl crystal (PBE).

Output
As for the total moment: 0.000 μB per cell. For the final energy, the calculation gives -2.98 eV/atom. The density of states at the Fermi level comes out at 3.04 states/eV per cell.

abc: 3.877 3.877 6.049
angles: 90.00 90.00 90.00
Sites, in units of the cell vectors:
In: 0.000 0.000 0.000
H: 0.500 0.500 0.500
S: 0.000 0.500 0.500
S: 0.500 0.000 0.500
Cl: 0.500 0.500 0.000

***

Record 3
Entry from Alexandria via LeMat-Bulk: a relaxed DySb crystal (PBE).

Output
As for the total moment: 0.000 μB per cell. The uncorrected formation energy is -1132 meV per atom. For the final energy, the calculation gives -5.49 eV/atom. The density of states at the Fermi level comes out at 0.33 states/eV per cell.

abc: 4.384 4.384 4.384
angles: 60.00 60.00 60.00
Sites, in units of the cell vectors:
Dy: 0.000 0.000 0.000
Sb: 0.500 0.500 0.500

***

Record 4
Entry from Alexandria via LeMat-Bulk: a relaxed AlTe2Rh crystal (PBE).

Output
As for the total moment: 0.000 μB per cell. The uncorrected formation energy is -196 meV per atom. For the final energy, the calculation gives -4.54 eV/atom. The density of states at the Fermi level comes out at 2.26 states/eV per cell.

abc: 6.820 6.820 6.820
angles: 34.39 34.39 34.39
Sites, in units of the cell vectors:
Al: 0.000 0.000 0.000
Te: 0.241 0.241 0.241
Te: 0.759 0.759 0.759
Rh: 0.500 0.500 0.500

***

Record 5
Entry from Alexandria via LeMat-Bulk: a relaxed Y2PBr2 crystal (PBE).

Output
As for the total moment: 0.000 μB per cell. The uncorrected formation energy is -1785 meV per atom. For the final energy, the calculation gives -6.12 eV/atom. The density of states at the Fermi level comes out at 1.82 states/eV per cell.

abc: 10.835 10.835 10.835
angles: 21.35 21.35 21.35
Sites, in units of the cell vectors:
Y: 0.119 0.119 0.119
Y: 0.881 0.881 0.881
P: 0.500 0.500 0.500
Br: 0.272 0.272 0.272
Br: 0.728 0.728 0.728

***

Record 6
Entry from Alexandria via LeMat-Bulk: a relaxed SmPaN2 crystal (PBE).

Output
As for the total moment: 0.000 μB per cell. The uncorrected formation energy is -1397 meV per atom. For the final energy, the calculation gives -9.11 eV/atom. The density of states at the Fermi level comes out at 0.50 states/eV per cell.

abc: 6.339 6.339 6.339
angles: 32.20 32.20 32.20
Sites, in units of the cell vectors:
Sm: 0.000 0.000 0.000
Pa: 0.178 0.178 0.178
N: 0.583 0.583 0.583
N: 0.772 0.772 0.772